A plane-wave DFT calculation with PBE-GGA was carried out for NdTmFe after structural relaxation.

Geometry as extended XYZ:
```
3
Lattice="0.000 3.333 3.333 3.333 0.000 3.333 3.333 3.333 0.000" Properties=species:S:1:pos:R:3 pbc="T T T"
Nd 0.000 0.000 0.000
Tm 3.333 3.333 3.333
Fe 1.667 1.667 1.667
```

* total DFT energy (no corrections): -5.6095 eV per atom
* distance to the lowest polymorph of the same formula: 0.000 eV per atom
* magnetization: 0.22 μB/f.u.
* formation energy from the elements: 0.24 eV per atom
* space-group type: F-43m, No. 216